YInGeRh2: relaxed, PBE-GGA.

Cell: 4.928 5.383 4.928 Å, 90.00 90.00 90.00°
Fractional coordinates of all 5 atoms:
Y (0.000, 0.000, 0.000)
Ge (0.000, 0.500, 0.000)
Rh (0.000, 0.000, 0.500)
Rh (0.500, 0.000, 0.000)
In (0.500, 0.500, 0.500)

total DFT energy (no corrections) = -4.8302 eV per atom
formation energy = 0.874 eV per atom
crystal system = tetragonal



CoGeTeSe2: relaxed, PBE-GGA.

Cell: 4.948 5.407 4.948 Å, 90.00 90.00 90.00°
Last column: magnetic moment on the atom in μB.
Fractional coordinates of all 5 atoms:
Ge (0.000, 0.000, 0.000)  -0.01
Te (0.000, 0.500, 0.000)  0.06
Co (0.500, 0.500, 0.500)  2.32
Se (0.000, 0.000, 0.500)  0.08
Se (0.500, 0.000, 0.000)  0.09

total DFT energy (no corrections) = -3.4648 eV per atom
ΔE_f (raw) = 902 meV/atom
crystal system = tetragonal



Tm3SbTe: relaxed, PBE-GGA.

Cell: 7.531 8.986 8.986 Å, 79.24 91.05 91.05°
Fractional coordinates of all 20 atoms:
Tm (0.564, 0.733, 0.004)
Tm (0.936, 0.996, 0.267)
Tm (0.436, 0.267, 0.996)
Tm (0.064, 0.004, 0.733)
Tm (0.916, 0.341, 0.859)
Tm (0.584, 0.141, 0.659)
Tm (0.084, 0.659, 0.141)
Tm (0.416, 0.859, 0.341)
Tm (0.595, 0.541, 0.657)
Tm (0.905, 0.343, 0.459)
Tm (0.405, 0.459, 0.343)
Tm (0.095, 0.657, 0.541)
Sb (0.250, 0.964, 0.036)
Sb (0.750, 0.036, 0.964)
Sb (0.250, 0.332, 0.668)
Sb (0.750, 0.668, 0.332)
Te (0.901, 0.681, 0.830)
Te (0.599, 0.170, 0.319)
Te (0.099, 0.319, 0.170)
Te (0.401, 0.830, 0.681)

total DFT energy (no corrections) = -4.9576 eV per atom
ΔE_f (raw) = -822 meV/atom
crystal system = monoclinic



La2PrScP4: relaxed, PBE-GGA.

Cell: 4.146 7.158 7.160 Å, 109.47 90.00 90.00°
Fractional coordinates of all 8 atoms:
La (0.500, 0.000, 0.500)
La (0.000, 0.500, 0.500)
Pr (0.500, 0.500, 0.000)
Sc (0.000, 0.000, 0.000)
P (0.500, 0.232, 0.231)
P (0.500, 0.768, 0.769)
P (0.000, 0.242, 0.761)
P (0.000, 0.758, 0.239)

total DFT energy (no corrections) = -6.8011 eV per atom
formation energy = -1.475 eV per atom
crystal system = monoclinic



> Which value of total DFT energy (no corrections) does entry 4 give?

-6.8011 eV per atom



> What is the total DFT energy (no corrections) in the second record?

-3.4648 eV per atom